No. 1
DFT (GGA-PBE) results for an optimized crystal structure of Nd4DyErTm2.

Geometry as POSCAR:
```
Nd4DyErTm2
1.0
-2.338 -0.096 2.745
3.676 -4.051 2.989
6.830 7.461 6.079
Er Nd Dy Tm
1 4 1 2
Cartesian
5.253 1.705 4.534 Er
0.296 0.767 5.018 Nd
3.296 -1.224 5.134 Nd
4.873 4.537 6.679 Nd
7.873 2.546 6.795 Nd
0.669 -2.074 2.867 Dy
2.246 3.682 4.412 Tm
6.830 7.461 6.079 Tm
```

## Properties
E_tot (eV/atom): -4.630
Symmetry: P2/m, No. 10

No. 2
DFT (GGA-PBE) results for an optimized crystal structure of Na2Mg4In3.

Geometry as POSCAR:
```
Na2Mg4In3
1.0
4.712 0.000 0.000
-2.356 5.036 0.496
0.000 1.478 9.470
Mg In Na
4 3 2
Cartesian
0.000 1.154 6.241 Mg
0.000 4.767 8.779 Mg
2.356 5.361 3.724 Mg
2.356 1.748 1.186 Mg
0.000 4.305 5.718 In
2.356 2.210 4.248 In
0.000 0.000 0.000 In
2.356 2.936 7.471 Na
0.000 3.579 2.495 Na
```

## Properties
E_tot (eV/atom): -1.961
Symmetry: C2/m, No. 12

No. 3
DFT (GGA-PBE) results for an optimized crystal structure of PbWAu4.

Geometry as POSCAR:
```
PbWAu4
1.0
-5.504 -0.835 -0.311
-3.277 1.385 4.293
-3.461 4.351 -0.424
W Au Pb
1 4 1
Cartesian
0.000 0.000 0.000 W
-7.347 1.417 1.177 Au
-4.585 1.836 1.333 Au
-6.230 2.531 3.487 Au
-6.322 4.019 1.120 Au
-9.181 3.676 2.668 Pb
```

## Properties
E_tot (eV/atom): -4.297
Symmetry: F-43m, No. 216

No. 4
DFT (GGA-PBE) results for an optimized crystal structure of La2SmErTm.

Geometry as POSCAR:
```
La2SmErTm
1.0
-0.622 -7.099 -1.900
7.957 0.084 -2.920
-2.036 -1.617 6.707
Er La Tm Sm
2 4 2 2
Cartesian
5.724 -3.274 3.200 Er
-0.425 -5.358 -1.313 Er
5.222 -3.491 -2.981 La
2.113 -3.524 -1.840 La
2.424 0.026 -0.890 La
5.533 0.059 -2.030 La
4.434 -6.030 -0.393 Tm
0.864 -2.602 2.280 Tm
0.604 -6.192 1.466 Sm
4.695 -2.440 0.421 Sm
```

## Properties
E_tot (eV/atom): -4.314
Symmetry: Cmcm, No. 63

No. 5
DFT (GGA-PBE) results for an optimized crystal structure of TaBr.

Geometry as POSCAR:
```
TaBr
1.0
-2.664 5.717 3.318
-5.491 -3.906 2.322
3.681 -1.689 5.865
Ta Br
6 6
Cartesian
-5.450 -0.071 3.400 Ta
-0.158 3.444 5.421 Ta
0.016 -3.219 5.559 Ta
-2.705 1.882 2.240 Ta
-1.825 -2.375 2.627 Ta
1.175 0.585 3.762 Ta
0.468 -1.821 3.513 Br
1.429 1.592 6.058 Br
-0.412 2.436 3.125 Br
-3.411 -0.524 1.990 Br
-4.743 2.335 3.650 Br
-2.277 -3.774 4.674 Br
```

## Properties
E_tot (eV/atom): -5.158
Raw formation energy (meV per atom): 1605
Symmetry: Pm-3n, No. 223

No. 6
DFT (GGA-PBE) results for an optimized crystal structure of La2TaTc2.

Geometry as POSCAR:
```
La2TaTc2
1.0
6.741 0.000 0.000
0.000 6.741 0.000
0.000 0.000 5.104
Ta Tc La
2 4 4
Cartesian
0.000 0.000 0.000 Ta
3.370 3.370 0.000 Ta
2.498 5.868 0.000 Tc
4.243 0.873 0.000 Tc
5.868 4.243 0.000 Tc
0.873 2.498 0.000 Tc
4.575 5.537 2.552 La
1.204 4.575 2.552 La
5.537 2.166 2.552 La
2.166 1.204 2.552 La
```

## Properties
E_tot (eV/atom): -8.303
Symmetry: P4/mbm, No. 127

No. 7
DFT (GGA-PBE) results for an optimized crystal structure of FeNi2W.

Geometry as POSCAR:
```
FeNi2W
1.0
-0.754 0.663 -3.972
-2.088 -1.466 0.152
-4.105 8.301 2.166
Ni W Fe
4 2 2
Cartesian
-2.954 5.143 -1.750 Ni
-3.993 2.355 0.095 Ni
-2.370 -0.249 -2.761 Ni
-4.577 7.747 1.106 Ni
-4.238 4.983 0.580 W
-2.709 2.515 -2.235 W
-2.673 0.420 -0.479 Fe
-4.274 7.078 -1.176 Fe
```

## Properties
E_tot (eV/atom): -8.198
Energy above the lowest structure with this stoichiometry (eV per atom): 0.065
Symmetry: P2_1/m, No. 11

No. 8
DFT (GGA-PBE) results for an optimized crystal structure of UTcAg.

Geometry as POSCAR:
```
UTcAg
1.0
-1.626 -6.411 -0.401
0.509 -3.743 3.026
-5.659 -2.112 1.966
Ag Tc U
2 2 2
Cartesian
0.013 -3.541 1.817 Ag
-1.131 -6.612 0.808 Ag
-4.933 -5.665 1.077 Tc
-2.352 -2.858 0.487 Tc
-2.982 -4.530 2.396 U
-3.795 -7.735 2.195 U
```

## Properties
E_tot (eV/atom): -7.761
Symmetry: Fmmm, No. 69

No. 9
DFT (GGA-PBE) results for an optimized crystal structure of AlTlRhBr2.

Geometry as POSCAR:
```
AlTlRhBr2
1.0
-4.509 -3.185 2.353
-1.555 -1.339 -4.793
3.532 -4.847 0.208
Br Rh Al Tl
2 1 1 1
Cartesian
-2.254 -1.592 1.176 Br
1.766 -2.423 0.104 Br
-0.777 -0.669 -2.396 Rh
-1.266 -4.685 -1.116 Al
0.000 0.000 0.000 Tl
```

## Properties
E_tot (eV/atom): -2.746
Raw formation energy (meV per atom): 615
Symmetry: P4/mmm, No. 123

No. 10
DFT (GGA-PBE) results for an optimized crystal structure of YNi2Pb2.

Geometry as POSCAR:
```
YNi2Pb2
1.0
4.489 0.000 0.000
0.000 4.489 0.000
2.244 2.244 5.379
Ni Pb Y
2 2 1
Cartesian
4.489 2.244 2.690 Ni
2.244 4.489 2.690 Ni
2.244 2.244 1.466 Pb
4.489 4.489 3.913 Pb
0.000 0.000 0.000 Y
```

## Properties
E_tot (eV/atom): -5.160
Energy above the lowest structure with this stoichiometry (eV per atom): 0.000
Symmetry: I4/mmm, No. 139

No. 11
DFT (GGA-PBE) results for an optimized crystal structure of Th2Al3Cu6.

Geometry as POSCAR:
```
Th2Al3Cu6
1.0
-1.535 -2.622 -2.577
-3.610 -3.040 5.243
-5.418 4.354 -1.204
Cu Al Th
6 3 2
Cartesian
-2.760 0.053 -1.490 Cu
-6.339 -0.500 1.204 Cu
-8.348 0.866 1.010 Cu
-7.803 -1.361 2.952 Cu
-2.215 -2.175 0.452 Cu
-4.224 -0.808 0.258 Cu
-0.767 -1.311 -1.289 Al
-7.107 1.034 3.179 Al
-1.921 0.280 0.860 Al
-4.133 -0.903 3.380 Th
-4.896 2.217 0.659 Th
```

## Properties
E_tot (eV/atom): -4.764
Symmetry: Cmmm, No. 65

- Which of these has the lowest E_tot?
  La2TaTc2